Entry 1:
{
  "formula": "Sr2AlSnPt",
  "functional": "PBE-GGA",
  "state": "optimized geometry",
  "lattice": [[6.0760, 0.0000, 0.0000], [0.0000, 6.0760, 0.0000], [0.0000, 0.0000, 4.5310]],
  "species": ["Sr", "Sr", "Al", "Sn", "Pt"],
  "fractional_positions": [[0.0000, 0.5000, 0.0000], [0.5000, 0.0000, 0.0000], [0.0000, 0.0000, 0.0000], [0.5000, 0.5000, 0.5000], [0.0000, 0.0000, 0.5000]],
  "formation_energy_mev_per_atom": -178,
  "magmom_total_mub_per_cell": 0.00,
  "space_group": "P4/mmm, No. 123"
}

=====

Entry 2:
{
  "formula": "InPSe2",
  "functional": "PBE-GGA",
  "state": "optimized geometry",
  "lattice": [[1.9652, 1.1346, 6.9163], [-1.9652, 1.1346, 6.9163], [0.0000, -2.2692, 6.9163]],
  "species": ["In", "P", "Se", "Se"],
  "fractional_positions": [[0.0000, 0.0000, 0.0000], [0.5000, 0.5000, 0.5000], [0.2356, 0.2356, 0.2356], [0.7644, 0.7644, 0.7644]],
  "magmom_total_mub_per_cell": 0.00,
  "space_group": "R-3m, No. 166",
  "raw_formation_energy_ev_per_atom": -0.04
}

=====

> Which formula does entry 1 have?

Sr2AlSnPt